RbFeRu2O8 after structural relaxation, computed with PBE with a Hubbard U.

Unit cell a=5.2491 b=5.2491 c=8.3426 alpha=95.15 beta=95.15 gamma=67.07
With the nearest neighbours (Å) after each atom.
Atoms (fractional coordinates):
Rb  0.0000  0.0000  0.0000  6 O 2.99-3.04
Fe  0.0000  0.0000  0.5000  6 O 1.98-2.05
Ru  0.3805  0.3805  0.7004  4 O 1.75-1.80
Ru  0.6195  0.6195  0.2996  4 O 1.75-1.80
O  0.2276  0.2276  0.5381  1 Ru 1.80, 1 Fe 1.98
O  0.2347  0.7491  0.6766  1 Ru 1.80
O  0.2509  0.7653  0.3234  1 Ru 1.80
O  0.3142  0.3142  0.8913  1 Ru 1.75
O  0.6858  0.6858  0.1087  1 Ru 1.75
O  0.7491  0.2347  0.6766  1 Ru 1.80
O  0.7653  0.2509  0.3234  1 Ru 1.80
O  0.7724  0.7724  0.4619  1 Ru 1.80, 1 Fe 1.98

Magnetic moment (μB/f.u.): 0.97
Calculated total energy (eV per atom): -6.45
SG: C2/m, No. 12